Crystalline BaSiAu2Se3S at its relaxed geometry, computed with PBE-GGA.

```
BaSiAu2Se3S
1.0
6.601 0.000 0.000
3.228 5.800 0.000
3.297 0.268 5.777
Au Ba S Se Si
2 1 1 3 1
Direct
0.174 0.320 0.322 Au
0.837 0.668 0.678 Au
0.001 0.002 0.997 Ba
0.154 0.498 0.818 S
0.467 0.512 0.166 Se
0.536 0.832 0.495 Se
0.842 0.167 0.515 Se
0.489 0.502 0.507 Si
```

## Properties
- E_tot: -4.330 eV per atom
- Mass density: 6.22 g/cm³